[1]
Here is crystalline CaRhW2 at its relaxed geometry from Alexandria. Energies are from PBEsol.

Unit cell a=2.8504 b=2.8504 c=9.7394 alpha=81.59 beta=81.59 gamma=60.00
Positions (direct):
Ca  0.5044  0.5044  0.4869
W  0.7438  0.7438  0.7685
W  0.9953  0.9953  0.0142
Rh  0.2565  0.2565  0.2304

Output
The polymorph energy (0 for the lowest one) is 49.8 meV per atom. The space group is R3m.

=====

[2]
Here is crystalline Ca2RhW at its relaxed geometry from Alexandria. Energies are from PBEsol.

Unit cell a=3.1666 b=3.1685 c=9.6544 alpha=90.00 beta=109.14 gamma=90.00
Positions (direct):
W  0.1904  0.5000  0.6906
Ca  0.9385  0.0000  0.9389
Ca  0.8195  0.5000  0.3190
Rh  0.5515  0.0000  0.5515

Output
The polymorph energy (0 for the lowest one) is 0.0 meV per atom. The space group is P4mm.

=====

[3]
Here is crystalline Ca2RhW at its relaxed geometry from Alexandria. Energies are from PBEsol.

Unit cell a=3.9890 b=3.9890 c=4.7999 alpha=90.00 beta=90.00 gamma=90.00
Positions (direct):
Ca  0.5000  0.0000  0.0000
Ca  0.0000  0.5000  0.0000
Rh  0.5000  0.5000  0.5000
W  0.0000  0.0000  0.5000

Output
The polymorph energy (0 for the lowest one) is 484.5 meV per atom. The space group is P4/mmm.

=====

[4]
Here is crystalline CaRhW2 at its relaxed geometry from Alexandria. Energies are from PBEsol.

Unit cell a=3.0610 b=4.4069 c=4.9587 alpha=90.00 beta=90.00 gamma=90.00
Positions (direct):
Rh  0.0000  0.5000  0.5000
Ca  0.5000  0.0000  0.5000
W  0.0000  0.0000  0.0000
W  0.5000  0.5000  0.0000

Output
The polymorph energy (0 for the lowest one) is 0.0 meV per atom. The space group is Pmmm.

=====

[5]
Here is crystalline CaY4Rh at its relaxed geometry from Alexandria. Energies are from PBEsol.

Unit cell a=6.2152 b=6.2152 c=6.2152 alpha=60.00 beta=60.00 gamma=60.00
Positions (direct):
Rh  0.0000  0.0000  0.0000
Y  0.8801  0.3733  0.3733
Y  0.3733  0.3733  0.8801
Y  0.3733  0.8801  0.3733
Y  0.3733  0.3733  0.3733
Ca  0.7500  0.7500  0.7500

Output
The space group is F-43m.

=====

[6]
Here is crystalline CaYRh3 at its relaxed geometry from Alexandria. Energies are from PBEsol.

Unit cell a=4.6638 b=4.6638 c=4.6638 alpha=90.00 beta=90.00 gamma=90.00
Positions (direct):
Y  0.5000  0.5000  0.5000
Rh  0.0000  0.0000  0.5000
Rh  0.5000  0.0000  0.0000
Rh  0.0000  0.5000  0.0000
Ca  0.0000  0.0000  0.0000

Output
The space group is Pm-3m.

=====

[7]
Here is crystalline CaYRh at its relaxed geometry from Alexandria. Energies are from PBEsol.

Unit cell a=3.3851 b=3.3851 c=6.9423 alpha=104.11 beta=104.11 gamma=90.00
Positions (direct):
Ca  0.0342  0.0342  0.0684
Rh  0.6758  0.6758  0.3517
Y  0.2900  0.2900  0.5799

Output
The space group is I4mm.

=====

[8]
Here is crystalline CaYRh4 at its relaxed geometry from Alexandria. Energies are from PBEsol.

Unit cell a=5.2526 b=5.2526 c=5.2526 alpha=60.00 beta=60.00 gamma=60.00
Positions (direct):
Rh  0.8750  0.3750  0.3750
Rh  0.3750  0.3750  0.8750
Rh  0.3750  0.8750  0.3750
Rh  0.3750  0.3750  0.3750
Y  0.7500  0.7500  0.7500
Ca  0.0000  0.0000  0.0000

Output
The space group is F-43m.

=====

[9]
Here is crystalline CaZn2Rh at its relaxed geometry from Alexandria. Energies are from PBEsol.

Unit cell a=3.9785 b=3.9785 c=4.2000 alpha=90.00 beta=90.00 gamma=90.00
Positions (direct):
Rh  0.0000  0.0000  0.5000
Zn  0.0000  0.5000  0.0000
Zn  0.5000  0.0000  0.0000
Ca  0.5000  0.5000  0.5000

Output
The space group is P4/mmm.

=====

[10]
Here is crystalline CaZn2Rh at its relaxed geometry from Alexandria. Energies are from PBEsol.

Unit cell a=3.2709 b=3.2709 c=6.3618 alpha=90.00 beta=90.00 gamma=90.00
Positions (direct):
Zn  0.0000  0.0000  0.3042
Zn  0.0000  0.0000  0.6958
Rh  0.5000  0.5000  0.5000
Ca  0.5000  0.5000  0.0000

Output
The space group is P4/mmm.

=====

[11]
Here is crystalline Ca2ZnRh at its relaxed geometry from Alexandria. Energies are from PBEsol.

Unit cell a=4.2964 b=4.2964 c=5.3060 alpha=113.88 beta=113.88 gamma=90.00
Positions (direct):
Ca  0.7500  0.2500  0.5000
Ca  0.0000  0.0000  0.0000
Zn  0.2500  0.7500  0.5000
Rh  0.5000  0.5000  0.0000

Output
The space group is I-4m2.

=====

[12]
Here is crystalline CaZn2Rh at its relaxed geometry from Alexandria. Energies are from PBEsol.

Unit cell a=4.2178 b=4.2215 c=5.5285 alpha=112.39 beta=90.00 gamma=119.97
Positions (direct):
Zn  0.7950  0.5901  0.8850
Zn  0.2050  0.4099  0.1150
Rh  0.5000  0.0000  0.0000
Ca  0.0000  0.0000  0.5000

Output
The space group is R-3m.

=====

[13]
Here is crystalline Ca2ZnRh at its relaxed geometry from Alexandria. Energies are from PBEsol.

Unit cell a=3.6286 b=4.7303 c=5.8680 alpha=113.77 beta=108.01 gamma=90.00
Positions (direct):
Rh  0.5363  0.5363  0.0725
Ca  0.7750  0.2750  0.5500
Ca  0.9860  0.9860  0.9719
Zn  0.2028  0.7028  0.4056

Output
The space group is Imm2.

=====

[14]
Here is crystalline CaZn2Rh at its relaxed geometry from Alexandria. Energies are from PBEsol.

Unit cell a=4.2818 b=4.2818 c=5.5294 alpha=67.22 beta=67.22 gamma=60.00
Positions (direct):
Ca  0.4935  0.4935  0.5196
Rh  0.6864  0.6864  0.9408
Zn  0.0145  0.0145  0.9566
Zn  0.2976  0.2976  0.1072

Output
The space group is R3m.

=====

[15]
Here is crystalline CaZn2Rh at its relaxed geometry from Alexandria. Energies are from PBEsol.

Unit cell a=3.0743 b=4.7579 c=4.7579 alpha=110.41 beta=90.00 gamma=90.00
Positions (direct):
Ca  0.5000  0.0000  0.0000
Zn  0.0000  0.5000  0.0000
Zn  0.0000  0.0000  0.5000
Rh  0.5000  0.5000  0.5000

Output
The space group is Cmmm.

=====

[16]
Here is crystalline CaZn4Rh at its relaxed geometry from Alexandria. Energies are from PBEsol.

Unit cell a=5.0541 b=5.0541 c=5.0541 alpha=60.00 beta=60.00 gamma=60.00
Positions (direct):
Rh  0.0000  0.0000  0.0000
Zn  0.3737  0.3737  0.8788
Zn  0.3737  0.8788  0.3737
Zn  0.8788  0.3737  0.3737
Zn  0.3737  0.3737  0.3737
Ca  0.7500  0.7500  0.7500

Output
The space group is F-43m.

=====

[17]
Here is crystalline Ca2ZnRh at its relaxed geometry from Alexandria. Energies are from PBEsol.

Unit cell a=4.1583 b=4.1614 c=5.7229 alpha=90.00 beta=111.30 gamma=90.00
Positions (direct):
Ca  0.1075  0.0000  0.2151
Ca  0.3904  0.5000  0.7809
Rh  0.8112  0.0000  0.6224
Zn  0.6863  0.5000  0.3726

Output
The space group is Amm2.

=====

[18]
Here is crystalline Ca2ZnRh at its relaxed geometry from Alexandria. Energies are from PBEsol.

Unit cell a=3.4426 b=3.4426 c=7.1171 alpha=90.00 beta=90.00 gamma=90.00
Positions (direct):
Ca  0.0000  0.0000  0.2280
Ca  0.0000  0.0000  0.7720
Zn  0.5000  0.5000  0.5000
Rh  0.5000  0.5000  0.0000

Output
The space group is P4/mmm.

=====

[19]
Here is crystalline Ca4ZnRh at its relaxed geometry from Alexandria. Energies are from PBEsol.

Unit cell a=5.9962 b=5.9962 c=5.9962 alpha=60.00 beta=60.00 gamma=60.00
Positions (direct):
Ca  0.3760  0.8721  0.3760
Ca  0.3760  0.3760  0.3760
Ca  0.3760  0.3760  0.8721
Ca  0.8721  0.3760  0.3760
Rh  0.7500  0.7500  0.7500
Zn  0.0000  0.0000  0.0000

Output
The space group is F-43m.

=====

[20]
Here is crystalline CaZrRh3 at its relaxed geometry from Alexandria. Energies are from PBEsol.

Unit cell a=4.7540 b=4.7540 c=4.7540 alpha=90.00 beta=90.00 gamma=90.00
Positions (direct):
Zr  0.0000  0.0000  0.0000
Ca  0.5000  0.5000  0.5000
Rh  0.0000  0.5000  0.0000
Rh  0.5000  0.0000  0.0000
Rh  0.0000  0.0000  0.5000

Output
The space group is Pm-3m.

=====

[21]
Here is crystalline CaZr2Rh at its relaxed geometry from Alexandria. Energies are from PBEsol.

Unit cell a=3.0518 b=5.4849 c=5.5610 alpha=119.55 beta=90.00 gamma=90.00
Positions (direct):
Rh  0.5000  0.5000  0.0000
Zr  0.0000  0.5000  0.5000
Zr  0.0000  0.0000  0.5000
Ca  0.5000  0.0000  0.0000

Output
The polymorph energy (0 for the lowest one) is 211.6 meV per atom. The space group is Cmmm.

=====

[22]
Here is crystalline CaZr2Rh at its relaxed geometry from Alexandria. Energies are from PBEsol.

Unit cell a=3.4017 b=3.4017 c=9.6638 alpha=79.86 beta=79.86 gamma=60.00
Positions (direct):
Rh  0.0000  0.0000  0.0000
Zr  0.7283  0.7283  0.8152
Zr  0.2717  0.2717  0.1848
Ca  0.5000  0.5000  0.5000

Output
The polymorph energy (0 for the lowest one) is 0.0 meV per atom. The space group is R-3m.

=====

[23]
Here is crystalline Ca3Ru at its relaxed geometry from Alexandria. Energies are from PBEsol.

Unit cell a=3.4856 b=3.4857 c=9.2305 alpha=90.00 beta=90.00 gamma=89.94
Positions (direct):
Ca  0.0000  0.0000  0.6717
Ca  0.0000  0.0000  0.3283
Ca  0.5000  0.5000  0.0000
Ru  0.5000  0.5000  0.5000

Output
The space group is P4/mmm.

=====

[24]
Here is crystalline Ca2Ru at its relaxed geometry from Alexandria. Energies are from PBEsol.

Unit cell a=3.5857 b=5.1881 c=7.6008 alpha=90.00 beta=103.64 gamma=90.00
Positions (direct):
Ca  0.4402  0.7500  0.8803
Ca  0.5598  0.2500  0.1197
Ca  0.7443  0.7500  0.4886
Ca  0.2557  0.2500  0.5114
Ru  0.8973  0.2500  0.7945
Ru  0.1027  0.7500  0.2055

Output
The space group is Cmcm.

=====

[25]
Here is crystalline CaRu at its relaxed geometry from Alexandria. Energies are from PBEsol.

Unit cell a=3.0523 b=3.0523 c=4.5692 alpha=90.00 beta=90.00 gamma=120.00
Positions (direct):
Ca  0.0000  0.0000  0.0000
Ru  0.3333  0.6667  0.5000

Output
The space group is P-6m2.

=====

[26]
Here is crystalline Ca2Ru at its relaxed geometry from Alexandria. Energies are from PBEsol.

Unit cell a=2.9370 b=4.9812 c=4.9812 alpha=120.00 beta=90.00 gamma=90.00
Positions (direct):
Ca  0.0000  0.3333  0.6667
Ca  0.0000  0.6667  0.3333
Ru  0.5000  0.0000  0.0000

Output
The space group is P6/mmm.

=====

[27]
Here is crystalline Ca3Ru at its relaxed geometry from Alexandria. Energies are from PBEsol.

Unit cell a=6.0506 b=7.8806 c=9.1270 alpha=90.00 beta=90.00 gamma=90.00
Positions (direct):
Ca  0.8580  0.6671  0.5650
Ca  0.1420  0.3329  0.4350
Ca  0.3580  0.8329  0.4350
Ca  0.8580  0.6671  0.9350
Ca  0.8810  0.9645  0.2500
Ca  0.3580  0.8329  0.0650
Ca  0.6190  0.4645  0.2500
Ca  0.1190  0.0355  0.7500
Ca  0.3810  0.5355  0.7500
Ca  0.6420  0.1671  0.9350
Ca  0.1420  0.3329  0.0650
Ca  0.6420  0.1671  0.5650
Ru  0.5582  0.8717  0.7500
Ru  0.0582  0.6283  0.2500
Ru  0.9418  0.3717  0.7500
Ru  0.4418  0.1283  0.2500

Output
The space group is Pnma.

=====

[28]
Here is crystalline Ca3Ru at its relaxed geometry from Alexandria. Energies are from PBEsol.

Unit cell a=5.1571 b=5.1882 c=5.1571 alpha=119.80 beta=90.00 gamma=119.80
Positions (direct):
Ca  0.2500  0.5000  0.7500
Ca  0.5000  0.0000  0.5000
Ca  0.7500  0.5000  0.2500
Ru  0.0000  0.0000  0.0000

Output
The space group is I4/mmm.

=====

[29]
Here is crystalline Ca5Ru at its relaxed geometry from Alexandria. Energies are from PBEsol.

Unit cell a=3.5794 b=6.6718 c=9.0607 alpha=70.09 beta=78.61 gamma=74.44
Positions (direct):
Ca  0.3795  0.3603  0.8807
Ca  0.6205  0.6397  0.1193
Ca  0.6605  0.9430  0.7361
Ca  0.3395  0.0570  0.2639
Ca  0.0000  0.5000  0.5000
Ru  0.0000  0.0000  0.0000

Output
The space group is C2/m.

=====

Taking the records one at a time from the top gives energy relative to the elements values of 0.530, 0.231, 0.716, 0.480, 0.547, 0.763, -0.429, -0.564, -0.136, -0.273, -0.128, -0.320, -0.234, -0.324, -0.060, -0.290, -0.331, -0.226, 0.697, 0.291, 0.192, -0.020, 0.240, 0.409, 0.705, 0.563, 0.123, 0.337, 0.135 eV per atom.
Taking the records one at a time from the top gives calculated total energy values of -35.77, -25.29, -23.35, -35.97, -34.28, -29.56, -18.38, -44.89, -13.98, -14.53, -14.50, -14.72, -14.92, -14.73, -13.68, -18.34, -15.31, -14.89, -14.07, -34.19, -27.68, -28.53, -15.61, -13.21, -10.89, -12.75, -16.08, -15.23, -20.03 eV per formula unit.